Record 1
HfCuW2 after structural relaxation, computed with PBE-GGA.

Summary:
E in Ry per atom: -0.6888
DOS(E_F) in states/eV per cell: 6.96
E_form in eV/atom: 0.62
Magnetization in μB/cell: 0.00

Cell and atoms, written as CIF:
```
data_HfCuW2
_cell_length_a 3.777
_cell_length_b 3.777
_cell_length_c 19.860
_cell_angle_alpha 90.00
_cell_angle_beta 90.00
_cell_angle_gamma 90.00
_space_group_name_H-M_alt 'I -4 2 d'
_space_group_IT_number 122
_space_group_name_Hall 'I -4 2bw'
loop_
_atom_site_label
_atom_site_type_symbol
_atom_site_fract_x
_atom_site_fract_y
_atom_site_fract_z
_atom_site_occupancy
Hf1 Hf 0.000 0.000 0.000 1
Cu1 Cu 0.000 0.000 0.500 1
W1 W 0.247 0.250 0.125 1
```

Record 2
Hf3CuW after structural relaxation, computed with PBE-GGA.

Summary:
E in Ry per atom: -0.6057
DOS(E_F) in states/eV per cell: 5.41
E_form in eV/atom: 1.14
Magnetization in μB/cell: 0.00

Cell and atoms, written as CIF:
```
data_Hf3CuW
_cell_length_a 5.039
_cell_length_b 5.039
_cell_length_c 5.039
_cell_angle_alpha 90.00
_cell_angle_beta 90.00
_cell_angle_gamma 90.00
_space_group_name_H-M_alt 'P m -3 m'
_space_group_IT_number 221
_space_group_name_Hall '-P 4 2 3'
loop_
_atom_site_label
_atom_site_type_symbol
_atom_site_fract_x
_atom_site_fract_y
_atom_site_fract_z
_atom_site_occupancy
Hf1 Hf 0.000 0.000 0.500 1
Cu1 Cu 0.500 0.500 0.500 1
W1 W 0.000 0.000 0.000 1
```

Record 3
HfCuW2 after structural relaxation, computed with PBE-GGA.

Summary:
E in Ry per atom: -0.6912
DOS(E_F) in states/eV per cell: 23.38
E_form in eV/atom: 0.59
Magnetization in μB/cell: 0.00

Cell and atoms, written as CIF:
```
data_HfCuW2
_cell_length_a 6.390
_cell_length_b 6.390
_cell_length_c 6.390
_cell_angle_alpha 90.00
_cell_angle_beta 90.00
_cell_angle_gamma 90.00
_space_group_name_H-M_alt 'F m -3 m'
_space_group_IT_number 225
_space_group_name_Hall '-F 4 2 3'
loop_
_atom_site_label
_atom_site_type_symbol
_atom_site_fract_x
_atom_site_fract_y
_atom_site_fract_z
_atom_site_occupancy
Hf1 Hf 0.000 0.000 0.000 1
Cu1 Cu 0.000 0.000 0.500 1
W1 W 0.250 0.250 0.250 1
```

Record 4
Hf3CuW after structural relaxation, computed with PBE-GGA.

Summary:
E in Ry per atom: -0.6177
DOS(E_F) in states/eV per cell: 6.39
E_form in eV/atom: 0.98
Magnetization in μB/cell: 0.00

Cell and atoms, written as CIF:
```
data_Hf3CuW
_cell_length_a 4.751
_cell_length_b 4.751
_cell_length_c 4.751
_cell_angle_alpha 90.00
_cell_angle_beta 90.00
_cell_angle_gamma 90.00
_space_group_name_H-M_alt 'P m -3 m'
_space_group_IT_number 221
_space_group_name_Hall '-P 4 2 3'
loop_
_atom_site_label
_atom_site_type_symbol
_atom_site_fract_x
_atom_site_fract_y
_atom_site_fract_z
_atom_site_occupancy
Hf1 Hf 0.000 0.000 0.500 1
Cu1 Cu 0.000 0.000 0.000 1
W1 W 0.500 0.500 0.500 1
```

Record 5
Hf2Cu2W after structural relaxation, computed with PBE-GGA.

Summary:
E in Ry per atom: -0.5961
DOS(E_F) in states/eV per cell: 10.63
E_form in eV/atom: 0.10
Magnetization in μB/cell: 0.00

Cell and atoms, written as CIF:
```
data_Hf2Cu2W
_cell_length_a 7.313
_cell_length_b 7.313
_cell_length_c 3.125
_cell_angle_alpha 90.00
_cell_angle_beta 90.00
_cell_angle_gamma 90.00
_space_group_name_H-M_alt 'P 4/m b m'
_space_group_IT_number 127
_space_group_name_Hall '-P 4 2ab'
loop_
_atom_site_label
_atom_site_type_symbol
_atom_site_fract_x
_atom_site_fract_y
_atom_site_fract_z
_atom_site_occupancy
Hf1 Hf 0.184 0.316 0.000 1
Cu1 Cu 0.117 0.617 0.500 1
W1 W 0.000 0.000 0.500 1
```

Record 6
YHf2Cu2 after structural relaxation, computed with PBE-GGA.

Summary:
E in Ry per atom: -0.5086
DOS(E_F) in states/eV per cell: 13.35
E_form in eV/atom: -0.01
Magnetization in μB/cell: 0.00

Cell and atoms, written as CIF:
```
data_YHf2Cu2
_cell_length_a 7.719
_cell_length_b 7.719
_cell_length_c 3.294
_cell_angle_alpha 90.00
_cell_angle_beta 90.00
_cell_angle_gamma 90.00
_space_group_name_H-M_alt 'P 4/m b m'
_space_group_IT_number 127
_space_group_name_Hall '-P 4 2ab'
loop_
_atom_site_label
_atom_site_type_symbol
_atom_site_fract_x
_atom_site_fract_y
_atom_site_fract_z
_atom_site_occupancy
Y1 Y 0.000 0.000 0.000 1
Hf1 Hf 0.165 0.335 0.500 1
Cu1 Cu 0.124 0.624 0.000 1
```